Entry from Alexandria via LeMat-Bulk: a relaxed YReW2 crystal (PBE-GGA).

Computed properties:
ΔH_f (0 K)   0.33 eV/atom
Magnetization   0.00 Bohr magnetons per cell
E_tot   -43.49 eV for the cell shown
E above lowest polymorph   0.18 eV per formula unit

Structure (POSCAR):
```
YReW2
1.0
5.547 -0.004 0.000
2.627 4.885 0.000
-3.560 -3.322 2.656
Y W Re
1 2 1
Cartesian
1.577 2.002 1.328
4.231 2.527 0.000
8.029 4.795 0.000
3.037 -0.443 1.328
```